1.
Density functional theory data (PBE) for crystalline YInPd4 at its relaxed geometry.

Cell and atoms, written as POSCAR:
```
YInPd4
1.0
3.711 0.000 1.073
2.057 4.733 -0.158
0.145 -1.596 6.451
Y In Pd
1 1 4
direct
0.500 0.500 0.500 Y
0.000 0.000 0.000 In
0.825 0.511 0.840 Pd
0.346 0.987 0.322 Pd
0.175 0.489 0.160 Pd
0.654 0.013 0.678 Pd
```

Calculated values
The calculation puts the formation energy at -643.5 meV per atom. For the uncorrected energy, the calculation gives -33.8 eV per formula unit. Its space group is No. 12. The calculation puts the volume at 108.1 Å³ per cell. As for the crystal system: monoclinic.



2.
Density functional theory data (PBE) for crystalline Y4InPd at its relaxed geometry.

Cell and atoms, written as POSCAR:
```
Y4InPd
1.0
8.454 0.000 4.881
2.818 7.971 4.881
0.000 0.000 9.762
Y In Pd
16 4 4
direct
0.397 0.397 0.397 Y
0.809 0.397 0.397 Y
0.397 0.809 0.397 Y
0.397 0.397 0.809 Y
0.561 0.561 0.939 Y
0.939 0.939 0.561 Y
0.561 0.939 0.561 Y
0.939 0.561 0.939 Y
0.939 0.561 0.561 Y
0.561 0.939 0.939 Y
0.186 0.186 0.814 Y
0.814 0.814 0.186 Y
0.186 0.814 0.186 Y
0.814 0.186 0.814 Y
0.814 0.186 0.186 Y
0.186 0.814 0.814 Y
0.166 0.166 0.166 In
0.501 0.166 0.166 In
0.166 0.501 0.166 In
0.166 0.166 0.501 In
0.606 0.606 0.606 Pd
0.183 0.606 0.606 Pd
0.606 0.183 0.606 Pd
0.606 0.606 0.183 Pd
```

Calculated values
The calculation puts the formation energy at -527.8 meV per atom. For the uncorrected energy, the calculation gives -37.0 eV per formula unit. The relative energy among the computed polymorphs is 0.00 eV/f.u. Its space group is No. 216. The calculation puts the volume at 657.8 Å³ per cell. As for the crystal system: cubic.